1.
# RbLiIr3

A geometry-optimized RbLiIr3 structure (GGA-PBE, Alexandria via LeMat-Bulk).

Energy above the lowest structure with this stoichiometry ... 143.6 kJ per mole of atoms
Spin magnetization ... 2.56 μB per cell
Raw total energy ... -2.9154 eV per atom
Density ... 9.11 g/cm3
Symmetry ... Pm-3m
Energy relative to the elements ... 2.978 eV/atom

```
data_RbLiIr3
_cell_length_a 4.959
_cell_length_b 4.959
_cell_length_c 4.959
_cell_angle_alpha 90.00
_cell_angle_beta 90.00
_cell_angle_gamma 90.00
_symmetry_space_group_name_H-M 'P 1'
_symmetry_Int_Tables_number 1
loop_
_symmetry_equiv_pos_as_xyz
'x,y,z'
loop_
_atom_site_label
_atom_site_type_symbol
_atom_site_fract_x
_atom_site_fract_y
_atom_site_fract_z
Rb1 Rb 0.000 0.000 0.000
Li1 Li 0.500 0.500 0.500
Ir1 Ir 0.000 0.000 0.500
Ir2 Ir 0.000 0.500 0.000
Ir3 Ir 0.500 0.000 0.000
```

=====

2.
# Mn2ZnCo

A geometry-optimized Mn2ZnCo structure (GGA-PBE, Alexandria via LeMat-Bulk).

Spin magnetization ... 7.22 μB per cell
Raw total energy ... -6.5083 eV per atom
Density ... 8.47 g/cm3
Symmetry ... R3m
Energy relative to the elements ... 0.171 eV/atom

```
data_Mn2ZnCo
_cell_length_a 2.519
_cell_length_b 2.519
_cell_length_c 25.062
_cell_angle_alpha 90.00
_cell_angle_beta 90.00
_cell_angle_gamma 120.00
_symmetry_space_group_name_H-M 'P 1'
_symmetry_Int_Tables_number 1
loop_
_symmetry_equiv_pos_as_xyz
'x,y,z'
loop_
_atom_site_label
_atom_site_type_symbol
_atom_site_fract_x
_atom_site_fract_y
_atom_site_fract_z
Mn1 Mn 0.000 0.000 0.000
Mn2 Mn 0.000 0.000 0.176
Mn3 Mn 0.333 0.667 0.667
Mn4 Mn 0.333 0.667 0.843
Mn5 Mn 0.667 0.333 0.333
Mn6 Mn 0.667 0.333 0.510
Zn1 Zn 0.000 0.000 0.421
Zn2 Zn 0.333 0.667 0.088
Zn3 Zn 0.667 0.333 0.755
Co1 Co 0.000 0.000 0.589
Co2 Co 0.333 0.667 0.255
Co3 Co 0.667 0.333 0.922
```

=====

3.
# TiV2Pt

A geometry-optimized TiV2Pt structure (GGA-PBE, Alexandria via LeMat-Bulk).

Energy above the lowest structure with this stoichiometry ... 8.5 kJ per mole of atoms
Spin magnetization ... 0.00 μB per cell
Raw total energy ... -8.3277 eV per atom
Density ... 9.92 g/cm3
Symmetry ... Fm-3m
Energy relative to the elements ... -0.284 eV/atom

```
data_TiV2Pt
_cell_length_a 6.134
_cell_length_b 6.134
_cell_length_c 6.134
_cell_angle_alpha 90.00
_cell_angle_beta 90.00
_cell_angle_gamma 90.00
_symmetry_space_group_name_H-M 'P 1'
_symmetry_Int_Tables_number 1
loop_
_symmetry_equiv_pos_as_xyz
'x,y,z'
loop_
_atom_site_label
_atom_site_type_symbol
_atom_site_fract_x
_atom_site_fract_y
_atom_site_fract_z
Ti1 Ti 0.000 0.000 0.000
Ti2 Ti 0.000 0.500 0.500
Ti3 Ti 0.500 0.000 0.500
Ti4 Ti 0.500 0.500 0.000
V1 V 0.250 0.250 0.250
V2 V 0.250 0.250 0.750
V3 V 0.250 0.750 0.250
V4 V 0.250 0.750 0.750
V5 V 0.750 0.250 0.250
V6 V 0.750 0.250 0.750
V7 V 0.750 0.750 0.250
V8 V 0.750 0.750 0.750
Pt1 Pt 0.000 0.000 0.500
Pt2 Pt 0.000 0.500 0.000
Pt3 Pt 0.500 0.000 0.000
Pt4 Pt 0.500 0.500 0.500
```

=====

4.
# ScAlRu2

A geometry-optimized ScAlRu2 structure (GGA-PBE, Alexandria via LeMat-Bulk).

Spin magnetization ... 0.00 μB per cell
Raw total energy ... -7.5414 eV per atom
Density ... 7.26 g/cm3
Symmetry ... C2/m
Energy relative to the elements ... -0.385 eV/atom

```
data_ScAlRu2
_cell_length_a 8.481
_cell_length_b 3.023
_cell_length_c 5.066
_cell_angle_alpha 90.00
_cell_angle_beta 105.05
_cell_angle_gamma 90.00
_symmetry_space_group_name_H-M 'P 1'
_symmetry_Int_Tables_number 1
loop_
_symmetry_equiv_pos_as_xyz
'x,y,z'
loop_
_atom_site_label
_atom_site_type_symbol
_atom_site_fract_x
_atom_site_fract_y
_atom_site_fract_z
Sc1 Sc 0.000 0.000 0.000
Sc2 Sc 0.500 0.500 0.000
Al1 Al 0.000 0.500 0.500
Al2 Al 0.500 0.000 0.500
Ru1 Ru 0.239 0.000 0.717
Ru2 Ru 0.261 0.500 0.283
Ru3 Ru 0.739 0.500 0.717
Ru4 Ru 0.761 0.000 0.283
```

=====

5.
# Cr2IrRh

A geometry-optimized Cr2IrRh structure (GGA-PBE, Alexandria via LeMat-Bulk).

Spin magnetization ... 0.19 μB per cell
Raw total energy ... -8.9405 eV per atom
Density ... 12.44 g/cm3
Symmetry ... Cm
Energy relative to the elements ... -0.076 eV/atom

```
data_Cr2IrRh
_cell_length_a 8.806
_cell_length_b 2.698
_cell_length_c 4.578
_cell_angle_alpha 90.00
_cell_angle_beta 101.49
_cell_angle_gamma 90.00
_symmetry_space_group_name_H-M 'P 1'
_symmetry_Int_Tables_number 1
loop_
_symmetry_equiv_pos_as_xyz
'x,y,z'
loop_
_atom_site_label
_atom_site_type_symbol
_atom_site_fract_x
_atom_site_fract_y
_atom_site_fract_z
Cr1 Cr 0.000 0.000 0.000
Cr2 Cr 0.244 0.500 0.275
Cr3 Cr 0.500 0.500 0.000
Cr4 Cr 0.744 0.000 0.275
Ir1 Ir 0.252 0.000 0.787
Ir2 Ir 0.752 0.500 0.787
Rh1 Rh 0.494 0.000 0.493
Rh2 Rh 0.994 0.500 0.493
```

=====

6.
# InHgSb4

A geometry-optimized InHgSb4 structure (GGA-PBE, Alexandria via LeMat-Bulk).

Spin magnetization ... 0.00 μB per cell
Raw total energy ... -3.0939 eV per atom
Density ... 7.45 g/cm3
Symmetry ... F-43m
Formation energy without anion corrections ... 161.0 meV per atom

```
data_InHgSb4
_cell_length_a 6.325
_cell_length_b 6.325
_cell_length_c 6.325
_cell_angle_alpha 60.00
_cell_angle_beta 60.00
_cell_angle_gamma 60.00
_symmetry_space_group_name_H-M 'P 1'
_symmetry_Int_Tables_number 1
loop_
_symmetry_equiv_pos_as_xyz
'x,y,z'
loop_
_atom_site_label
_atom_site_type_symbol
_atom_site_fract_x
_atom_site_fract_y
_atom_site_fract_z
In1 In 0.000 0.000 0.000
Hg1 Hg 0.250 0.250 0.250
Sb1 Sb 0.126 0.625 0.625
Sb2 Sb 0.625 0.126 0.625
Sb3 Sb 0.625 0.625 0.126
Sb4 Sb 0.625 0.625 0.625
```

=====

7.
# Ba2NaHPb

A geometry-optimized Ba2NaHPb structure (GGA-PBE, Alexandria via LeMat-Bulk).

Energy above the lowest structure with this stoichiometry ... 17.1 kJ per mole of atoms
Spin magnetization ... 0.00 μB per cell
Raw total energy ... -2.6846 eV per atom
Density ... 5.02 g/cm3
Symmetry ... P4/mmm

```
data_Ba2NaHPb
_cell_length_a 5.917
_cell_length_b 5.917
_cell_length_c 4.782
_cell_angle_alpha 90.00
_cell_angle_beta 90.00
_cell_angle_gamma 90.00
_symmetry_space_group_name_H-M 'P 1'
_symmetry_Int_Tables_number 1
loop_
_symmetry_equiv_pos_as_xyz
'x,y,z'
loop_
_atom_site_label
_atom_site_type_symbol
_atom_site_fract_x
_atom_site_fract_y
_atom_site_fract_z
Ba1 Ba 0.000 0.500 0.000
Ba2 Ba 0.500 0.000 0.000
Na1 Na 0.000 0.000 0.500
H1 H 0.500 0.500 0.000
Pb1 Pb 0.500 0.500 0.500
```

=====

8.
# Tb5Tm5Bi6

A geometry-optimized Tb5Tm5Bi6 structure (GGA-PBE, Alexandria via LeMat-Bulk).

Spin magnetization ... 0.61 μB per cell
Raw total energy ... -4.9511 eV per atom
Density ... 10.44 g/cm3
Symmetry ... Amm2
Energy relative to the elements ... -0.651 eV/atom

```
data_Tb5Tm5Bi6
_cell_length_a 6.340
_cell_length_b 9.167
_cell_length_c 9.167
_cell_angle_alpha 120.26
_cell_angle_beta 90.00
_cell_angle_gamma 90.00
_symmetry_space_group_name_H-M 'P 1'
_symmetry_Int_Tables_number 1
loop_
_symmetry_equiv_pos_as_xyz
'x,y,z'
loop_
_atom_site_label
_atom_site_type_symbol
_atom_site_fract_x
_atom_site_fract_y
_atom_site_fract_z
Tb1 Tb 0.000 0.000 0.000
Tb2 Tb 0.250 0.092 0.424
Tb3 Tb 0.250 0.424 0.092
Tb4 Tb 0.750 0.092 0.424
Tb5 Tb 0.750 0.424 0.092
Tm1 Tm 0.000 0.517 0.759
Tm2 Tm 0.000 0.759 0.517
Tm3 Tm 0.500 0.001 0.758
Tm4 Tm 0.500 0.520 0.520
Tm5 Tm 0.500 0.758 0.001
Bi1 Bi 0.000 0.147 0.757
Bi2 Bi 0.000 0.373 0.373
Bi3 Bi 0.000 0.757 0.147
Bi4 Bi 0.500 0.146 0.146
Bi5 Bi 0.500 0.371 0.759
Bi6 Bi 0.500 0.759 0.371
```

=====

9.
# HgGe2Br6

A geometry-optimized HgGe2Br6 structure (GGA-PBE, Alexandria via LeMat-Bulk).

Energy above the lowest structure with this stoichiometry ... 6.9 kJ per mole of atoms
Spin magnetization ... 0.00 μB per cell
Raw total energy ... -2.5926 eV per atom
Density ... 3.17 g/cm3
Symmetry ... C2/c
Formation energy without anion corrections ... -417.8 meV per atom

```
data_HgGe2Br6
_cell_length_a 10.277
_cell_length_b 10.277
_cell_length_c 8.691
_cell_angle_alpha 103.96
_cell_angle_beta 103.96
_cell_angle_gamma 87.48
_symmetry_space_group_name_H-M 'P 1'
_symmetry_Int_Tables_number 1
loop_
_symmetry_equiv_pos_as_xyz
'x,y,z'
loop_
_atom_site_label
_atom_site_type_symbol
_atom_site_fract_x
_atom_site_fract_y
_atom_site_fract_z
Hg1 Hg 0.092 0.908 0.750
Hg2 Hg 0.908 0.092 0.250
Ge1 Ge 0.197 0.384 0.805
Ge2 Ge 0.384 0.197 0.305
Ge3 Ge 0.616 0.803 0.695
Ge4 Ge 0.803 0.616 0.195
Br1 Br 0.008 0.736 0.294
Br2 Br 0.145 0.615 0.831
Br3 Br 0.264 0.992 0.206
Br4 Br 0.314 0.328 0.084
Br5 Br 0.328 0.314 0.584
Br6 Br 0.385 0.855 0.669
Br7 Br 0.615 0.145 0.331
Br8 Br 0.672 0.686 0.416
Br9 Br 0.686 0.672 0.916
Br10 Br 0.736 0.008 0.794
Br11 Br 0.855 0.385 0.169
Br12 Br 0.992 0.264 0.706
```

=====

10.
# Sr2CuBr

A geometry-optimized Sr2CuBr structure (GGA-PBE, Alexandria via LeMat-Bulk).

Energy above the lowest structure with this stoichiometry ... 9.0 kJ per mole of atoms
Spin magnetization ... 0.00 μB per cell
Raw total energy ... -2.9554 eV per atom
Density ... 4.37 g/cm3
Symmetry ... Cmmm
Formation energy without anion corrections ... -672.2 meV per atom

```
data_Sr2CuBr
_cell_length_a 5.384
_cell_length_b 5.434
_cell_length_c 8.279
_cell_angle_alpha 90.00
_cell_angle_beta 90.00
_cell_angle_gamma 90.00
_symmetry_space_group_name_H-M 'P 1'
_symmetry_Int_Tables_number 1
loop_
_symmetry_equiv_pos_as_xyz
'x,y,z'
loop_
_atom_site_label
_atom_site_type_symbol
_atom_site_fract_x
_atom_site_fract_y
_atom_site_fract_z
Sr1 Sr 0.000 0.000 0.219
Sr2 Sr 0.000 0.000 0.781
Sr3 Sr 0.500 0.500 0.219
Sr4 Sr 0.500 0.500 0.781
Cu1 Cu 0.000 0.500 0.000
Cu2 Cu 0.500 0.000 0.000
Br1 Br 0.000 0.500 0.500
Br2 Br 0.500 0.000 0.500
```

=====

11.
# Ho9Tm2In

A geometry-optimized Ho9Tm2In structure (GGA-PBE, Alexandria via LeMat-Bulk).

Spin magnetization ... 0.00 μB per cell
Raw total energy ... -4.4756 eV per atom
Density ... 8.96 g/cm3
Symmetry ... P4/mmm
Energy relative to the elements ... -0.069 eV/atom

```
data_Ho9Tm2In
_cell_length_a 4.903
_cell_length_b 4.903
_cell_length_c 14.940
_cell_angle_alpha 90.00
_cell_angle_beta 90.00
_cell_angle_gamma 90.00
_symmetry_space_group_name_H-M 'P 1'
_symmetry_Int_Tables_number 1
loop_
_symmetry_equiv_pos_as_xyz
'x,y,z'
loop_
_atom_site_label
_atom_site_type_symbol
_atom_site_fract_x
_atom_site_fract_y
_atom_site_fract_z
Ho1 Ho 0.000 0.000 0.000
Ho2 Ho 0.000 0.000 0.329
Ho3 Ho 0.000 0.000 0.671
Ho4 Ho 0.000 0.500 0.163
Ho5 Ho 0.000 0.500 0.500
Ho6 Ho 0.000 0.500 0.837
Ho7 Ho 0.500 0.000 0.163
Ho8 Ho 0.500 0.000 0.500
Ho9 Ho 0.500 0.000 0.837
Tm1 Tm 0.500 0.500 0.333
Tm2 Tm 0.500 0.500 0.667
In1 In 0.500 0.500 0.000
```

=====

12.
# Tm4CuAg

A geometry-optimized Tm4CuAg structure (GGA-PBE, Alexandria via LeMat-Bulk).

Energy above the lowest structure with this stoichiometry ... 0.0 kJ per mole of atoms
Spin magnetization ... 1.47 μB per cell
Raw total energy ... -4.2987 eV per atom
Density ... 9.48 g/cm3
Symmetry ... P4/mmm
Energy relative to the elements ... -0.160 eV/atom

```
data_Tm4CuAg
_cell_length_a 3.472
_cell_length_b 3.472
_cell_length_c 12.310
_cell_angle_alpha 90.00
_cell_angle_beta 90.00
_cell_angle_gamma 90.00
_symmetry_space_group_name_H-M 'P 1'
_symmetry_Int_Tables_number 1
loop_
_symmetry_equiv_pos_as_xyz
'x,y,z'
loop_
_atom_site_label
_atom_site_type_symbol
_atom_site_fract_x
_atom_site_fract_y
_atom_site_fract_z
Tm1 Tm 0.000 0.000 0.137
Tm2 Tm 0.000 0.000 0.863
Tm3 Tm 0.500 0.500 0.346
Tm4 Tm 0.500 0.500 0.654
Cu1 Cu 0.500 0.500 0.000
Ag1 Ag 0.000 0.000 0.500
```